A relaxed Dy4Ge2Cl3 crystal, computed with PBE.

Cell: 4.108 4.108 16.625 Å, 90.03 90.03 59.99°
Atoms (fractional coordinates):
Dy: 0.001 0.001 0.297
Dy: 0.334 0.334 0.110
Dy: 0.666 0.666 0.890
Dy: 0.999 0.999 0.703
Ge: 0.332 0.332 0.800
Ge: 0.668 0.668 0.200
Cl: 0.000 0.000 0.000
Cl: 0.334 0.334 0.391
Cl: 0.666 0.666 0.609

Calculated values
As for the crystal system: monoclinic. The space-group type is C2/m, No. 12. The calculation puts the formation energy without anion corrections at -1.433 eV/atom. Its total energy is -5.120 eV/atom.

***

A relaxed CaSiC2 crystal, computed with PBE.

Cell: 4.541 4.541 11.033 Å, 90.00 90.00 90.00°
Atoms (fractional coordinates):
Ca: 0.000 0.000 0.000
Ca: 0.000 0.500 0.250
Ca: 0.500 0.000 0.750
Ca: 0.500 0.500 0.500
Si: 0.000 0.000 0.500
Si: 0.000 0.500 0.750
Si: 0.500 0.000 0.250
Si: 0.500 0.500 0.000
C: 0.065 0.250 0.625
C: 0.250 0.565 0.875
C: 0.250 0.935 0.375
C: 0.435 0.250 0.125
C: 0.565 0.750 0.125
C: 0.750 0.065 0.375
C: 0.750 0.435 0.875
C: 0.935 0.750 0.625

Calculated values
As for the crystal system: tetragonal. The space-group type is I-42d, No. 122. The calculation puts the formation energy without anion corrections at 0.391 eV/atom. Its total energy is -6.077 eV/atom.

***

A relaxed Zr2ScRe crystal, computed with PBE.

Cell: 5.921 9.510 2.971 Å, 90.00 109.69 90.00°
Atoms (fractional coordinates):
Zr: 0.250 0.250 0.000
Zr: 0.250 0.750 0.000
Zr: 0.750 0.250 0.000
Zr: 0.750 0.750 0.000
Sc: 0.000 0.000 0.500
Sc: 0.500 0.500 0.500
Re: 0.000 0.500 0.500
Re: 0.500 0.000 0.500

Calculated values
As for the crystal system: monoclinic. The space-group type is C2/m, No. 12. Its total energy is -8.883 eV/atom. The value obtained for the formation energy from the elements is 86 meV/atom.

***

A relaxed Tl10Bi4Au crystal, computed with PBE.

Cell: 9.243 9.243 9.243 Å, 99.68 99.68 131.58°
Atoms (fractional coordinates):
Tl: 0.048 0.142 0.716
Tl: 0.142 0.426 0.094
Tl: 0.250 0.750 0.500
Tl: 0.332 0.048 0.906
Tl: 0.426 0.332 0.284
Tl: 0.574 0.668 0.716
Tl: 0.668 0.952 0.094
Tl: 0.750 0.250 0.500
Tl: 0.858 0.574 0.906
Tl: 0.952 0.858 0.284
Bi: 0.202 0.602 0.804
Bi: 0.398 0.202 0.600
Bi: 0.602 0.798 0.400
Bi: 0.798 0.398 0.196
Au: 0.000 0.000 0.000

Calculated values
As for the crystal system: tetragonal. The space-group type is I4/m, No. 87. Its total energy is -2.811 eV/atom. The value obtained for the formation energy from the elements is 20 meV/atom.